AsOs | GGA-PBEsol | relaxed

The calculated total energy is -16.66 eV per formula unit. The density of states at the Fermi level is 1.088 states/eV/f.u.

It has space group P6_3/mmc (No. 194), with a = 2.9200 Å, b = 2.9200 Å, c = 7.8703 Å, α = 90.00°, β = 90.00° and γ = 120.00°. Symmetry generates all atoms from As at (0.0000, 0.0000, 0.0000) and Os at (0.3333, 0.6667, 0.2500).